[1]
Below is AcHgBi2Pd after structural relaxation, with properties calculated at the GGA-PBE level.

a b c (Å): 5.133 5.133 6.310
angles (deg): 90.00 90.00 90.00
Element x y z (fractional)
Bi 0.500 0.000 0.920
Bi 0.000 0.500 0.920
Hg 0.500 0.500 0.573
Ac 0.000 0.000 0.512
Pd 0.000 0.000 0.074

Values from the calculation:
Calculated density in g/cm3: 9.510
Electronic total energy in eV/atom: -3.774
Total magnetization in Bohr magnetons per cell: 0.00

---

[2]
Below is Ho5Mg2OsRu2 after structural relaxation, with properties calculated at the GGA-PBE level.

a b c (Å): 3.471 11.658 11.658
angles (deg): 90.00 90.00 90.00
Element x y z (fractional)
Mg 0.000 0.810 0.690
Mg 0.000 0.310 0.810
Mg 0.000 0.190 0.310
Mg 0.000 0.690 0.190
Ho 0.500 0.804 0.945
Ho 0.500 0.945 0.196
Ho 0.500 0.445 0.304
Ho 0.500 0.196 0.055
Ho 0.500 0.055 0.804
Ho 0.500 0.500 0.000
Ho 0.500 0.304 0.555
Ho 0.500 0.000 0.500
Ho 0.500 0.555 0.696
Ho 0.500 0.696 0.445
Os 0.000 0.500 0.500
Os 0.000 0.000 0.000
Ru 0.000 0.635 0.865
Ru 0.000 0.365 0.135
Ru 0.000 0.135 0.635
Ru 0.000 0.865 0.365

Values from the calculation:
Calculated density in g/cm3: 8.911
Electronic total energy in eV/atom: -5.782
Total magnetization in Bohr magnetons per cell: 0.00

---

[3]
Below is Pr6ScHg2 after structural relaxation, with properties calculated at the GGA-PBE level.

a b c (Å): 3.763 6.740 12.047
angles (deg): 75.05 81.01 73.79
Element x y z (fractional)
Pr 0.320 0.483 0.878
Pr 0.972 0.723 0.333
Pr 0.028 0.277 0.667
Pr 0.309 0.786 0.595
Pr 0.680 0.517 0.122
Pr 0.691 0.214 0.405
Hg 0.632 0.912 0.825
Hg 0.368 0.088 0.175
Sc 0.000 0.000 0.000

Values from the calculation:
Calculated density in g/cm3: 7.597
Electronic total energy in eV/atom: -4.149
Total magnetization in Bohr magnetons per cell: 0.00